[1]
The following is a DFT calculation (PBE) of Fe2MoCl after structural relaxation.

Unit cell a=8.2115 b=8.2115 c=8.2115 alpha=20.20 beta=20.20 gamma=20.20
Closest atoms and distances in Å follow each position.
Sites, in units of the cell vectors:
Mo (0.5009, 0.5009, 0.5009)  3 Cl 2.59, 3 Fe 2.65, 6 Mo 2.88
Fe (0.9940, 0.9940, 0.9940)  3 Fe 2.45
Fe (0.2530, 0.2530, 0.2530)  3 Fe 2.45, 3 Mo 2.65
Cl (0.7521, 0.7521, 0.7521)  3 Mo 2.59, 3 Fe 2.76, 6 Cl 2.88

Values from the calculation:
M_tot	4.67	μB/f.u.
final energy	-7.0789	eV per atom
uncorrected formation energy	1.3	eV per formula unit
E above lowest polymorph	150	meV/atom

=====

[2]
The following is a DFT calculation (PBE) of LiCe2Ga6Rh after structural relaxation.

Unit cell a=6.5553 b=6.5582 c=6.5542 alpha=60.01 beta=60.01 gamma=90.03
Closest atoms and distances in Å follow each position.
Sites, in units of the cell vectors:
Ce (0.2500, 0.7501, 0.4999)  12 Ga 3.28
Ce (0.7500, 0.2499, 0.5001)  12 Ga 3.28
Ga (0.2610, 0.7390, 0.0000)  1 Li 2.22, 1 Rh 2.42
Ga (0.7390, 0.7390, 0.0001)  1 Li 2.22, 1 Rh 2.42
Ga (0.7392, 0.7392, 0.5219)  1 Li 2.22, 1 Rh 2.42
Ga (0.2610, 0.2610, 0.9999)  1 Li 2.22, 1 Rh 2.42
Ga (0.2608, 0.2608, 0.4781)  1 Li 2.22, 1 Rh 2.42
Ga (0.7390, 0.2610, 0.0000)  1 Li 2.22, 1 Rh 2.42
Li (0.5000, 0.5000, 0.0000)  6 Ga 2.22
Rh (0.0000, 0.0000, 0.0000)  6 Ga 2.42

Values from the calculation:
M_tot	1.81	μB/f.u.
final energy	-4.2676	eV per atom
E_form	-0.338	eV per atom